Crystalline Th2AlAg at its relaxed geometry, computed with PBE.

Geometry as CIF:
```
data_Th2AlAg
_chemical_formula_sum 'Th6 Al3 Ag3'
_cell_length_a 3.2991
_cell_length_b 3.2991
_cell_length_c 34.4618
_cell_angle_alpha 90.00
_cell_angle_beta 90.00
_cell_angle_gamma 120.00
_space_group_name_H-M_alt 'R -3 m'
_space_group_IT_number 166
_space_group_name_Hall '-R 3 2"'
loop_
_atom_site_label
_atom_site_fract_x
_atom_site_fract_y
_atom_site_fract_z
Th1 0.0000 0.0000 0.0911
Al1 0.0000 0.0000 0.5000
Ag1 0.0000 0.0000 0.0000
```

Summary:
DFT formation energy ... 0.28 eV/atom
E ... -5.080 eV/atom